Entry 1:
A plane-wave DFT calculation with PBEsol was carried out for a relaxed structure of Li2FeSiCO7.

a b c (Å): 5.128 6.105 8.453
angles (deg): 90.00 92.60 90.00
Atoms (fractional coordinates):
Li (0.220, 0.024, 0.286)
Li (0.220, 0.476, 0.286)
Li (0.780, 0.524, 0.714)
Li (0.780, 0.976, 0.714)
Fe (0.209, 0.750, 0.847)
Fe (0.791, 0.250, 0.153)
Si (0.294, 0.250, 0.939)
Si (0.706, 0.750, 0.061)
C (0.273, 0.750, 0.551)
C (0.727, 0.250, 0.449)
O (0.051, 0.750, 0.623)
O (0.174, 0.250, 0.112)
O (0.198, 0.042, 0.829)
O (0.198, 0.458, 0.829)
O (0.279, 0.750, 0.401)
O (0.384, 0.750, 0.037)
O (0.478, 0.750, 0.646)
O (0.522, 0.250, 0.354)
O (0.616, 0.250, 0.963)
O (0.721, 0.250, 0.599)
O (0.802, 0.542, 0.171)
O (0.802, 0.958, 0.171)
O (0.826, 0.750, 0.888)
O (0.949, 0.250, 0.377)

Summary:
* mass density: 2.8 g cm⁻³
* energy relative to the elements, uncorrected: -22.23 eV per formula unit

***

Entry 2:
A plane-wave DFT calculation with PBEsol was carried out for a relaxed structure of LiFe2WC.

a b c (Å): 4.578 4.578 4.045
angles (deg): 90.00 90.00 90.00
Atoms (fractional coordinates):
Li (0.000, 0.000, 0.000)
Fe (0.000, 0.500, 0.500)
Fe (0.500, 0.000, 0.500)
W (0.500, 0.500, 0.500)
C (0.500, 0.500, 0.000)

Summary:
* mass density: 6.2 g cm⁻³
* calculated formation energy: 1.590 eV per atom

***

What did the first record say?
A plane-wave DFT calculation with PBEsol was carried out for a relaxed structure of Li2FeSiCO7.

a b c (Å): 5.128 6.105 8.453
angles (deg): 90.00 92.60 90.00
Atoms (fractional coordinates):
Li (0.220, 0.024, 0.286)
Li (0.220, 0.476, 0.286)
Li (0.780, 0.524, 0.714)
Li (0.780, 0.976, 0.714)
Fe (0.209, 0.750, 0.847)
Fe (0.791, 0.250, 0.153)
Si (0.294, 0.250, 0.939)
Si (0.706, 0.750, 0.061)
C (0.273, 0.750, 0.551)
C (0.727, 0.250, 0.449)
O (0.051, 0.750, 0.623)
O (0.174, 0.250, 0.112)
O (0.198, 0.042, 0.829)
O (0.198, 0.458, 0.829)
O (0.279, 0.750, 0.401)
O (0.384, 0.750, 0.037)
O (0.478, 0.750, 0.646)
O (0.522, 0.250, 0.354)
O (0.616, 0.250, 0.963)
O (0.721, 0.250, 0.599)
O (0.802, 0.542, 0.171)
O (0.802, 0.958, 0.171)
O (0.826, 0.750, 0.888)
O (0.949, 0.250, 0.377)

Summary:
* mass density: 2.8 g cm⁻³
* energy relative to the elements, uncorrected: -22.23 eV per formula unit

***

> What is the formula in the second record?

LiFe2WC

***

> Among the records above, which one has the highest mass density?

LiFe2WC

***

> What is the mass density in the second record?

6.2 g cm⁻³